## HgTe2As (PBE-GGA)

Data for a relaxed structure of HgTe2As.

Lattice parameters (Å, degrees): 3.393 3.393 10.071 90.00 90.00 90.00
Space group P4mm (No. 99)
Asymmetric unit:
1 Hg 0.000 0.000 0.000 (multiplicity 1)
2 Te 0.000 0.000 0.595 (multiplicity 1)
3 Te 0.500 0.500 0.276 (multiplicity 1)
4 As 0.500 0.500 0.743 (multiplicity 1)

Its uncorrected formation energy is 1.09 eV per formula unit. Its crystal system is tetragonal. The calculation puts the excess energy over the best structure of this formula in the dataset at 275 meV per atom.

---

## HgTe2As (PBE-GGA)

Data for a relaxed structure of HgTe2As.

Lattice parameters (Å, degrees): 4.2673 4.2673 21.1105 90.00 90.00 120.00
Space group R3m (No. 160, hexagonal axes)
Asymmetric unit:
1 Hg 0.0000 0.0000 0.0000 (multiplicity 3)
2 Te 0.0000 0.0000 0.2491 (multiplicity 3)
3 Te 0.0000 0.0000 0.4862 (multiplicity 3)
4 As 0.0000 0.0000 0.7459 (multiplicity 3)

Its uncorrected formation energy is 0.34 eV per formula unit. Its crystal system is trigonal. The calculation puts the excess energy over the best structure of this formula in the dataset at 87 meV per atom.

---

## Hg2TeAs (PBE-GGA)

Data for a relaxed structure of Hg2TeAs.

Lattice parameters (Å, degrees): 2.883 6.330 6.042 90.00 90.20 90.00
Space group P2/m (No. 10)
Asymmetric unit:
1 Hg 0.003 0.000 0.254 (multiplicity 2)
2 Te 0.000 0.500 0.000 (multiplicity 1)
3 As 0.000 0.500 0.500 (multiplicity 1)

Its uncorrected formation energy is 0.81 eV per formula unit. Its crystal system is monoclinic. The calculation puts the excess energy over the best structure of this formula in the dataset at 124 meV per atom.

---

## Hg2TeAs (PBE-GGA)

Data for a relaxed structure of Hg2TeAs.

Lattice parameters (Å, degrees): 2.943 2.943 13.242 90.00 90.00 90.00
Space group P4/mmm (No. 123)
Asymmetric unit:
1 Hg 0.000 0.000 0.225 (multiplicity 2)
2 Te 0.500 0.500 0.500 (multiplicity 1)
3 As 0.500 0.500 0.000 (multiplicity 1)

Its uncorrected formation energy is 1.01 eV per formula unit. Its crystal system is tetragonal. The calculation puts the excess energy over the best structure of this formula in the dataset at 174 meV per atom.

---

## Hg2TeAs (PBE-GGA)

Data for a relaxed structure of Hg2TeAs.

Lattice parameters (Å, degrees): 3.939 4.168 13.799 90.00 90.00 90.00
Space group Immm (No. 71)
Asymmetric unit:
1 Hg 0.000 0.000 0.206 (multiplicity 4)
2 Te 0.000 0.500 0.000 (multiplicity 2)
3 As 0.000 0.500 0.500 (multiplicity 2)

Its uncorrected formation energy is 0.70 eV per formula unit. Its crystal system is orthorhombic. The calculation puts the excess energy over the best structure of this formula in the dataset at 97 meV per atom.

---

## HgTe2As (PBE-GGA)

Data for a relaxed structure of HgTe2As.

Lattice parameters (Å, degrees): 7.408 7.408 7.408 90.00 90.00 90.00
Space group Fm-3m (No. 225)
Asymmetric unit:
1 Hg 0.000 0.000 0.000 (multiplicity 4)
2 Te 0.250 0.250 0.250 (multiplicity 8)
3 As 0.000 0.000 0.500 (multiplicity 4)

Its uncorrected formation energy is 1.42 eV per formula unit. Its crystal system is cubic. The calculation puts the excess energy over the best structure of this formula in the dataset at 357 meV per atom.

---

## HgTeAs (PBE-GGA)

Data for a relaxed structure of HgTeAs.

Lattice parameters (Å, degrees): 3.676 6.064 15.377 90.00 90.00 90.00
Space group Fmm2 (No. 42)
Asymmetric unit:
1 Hg 0.000 0.000 0.000 (multiplicity 4)
2 Te 0.000 0.000 0.698 (multiplicity 4)
3 As 0.000 0.000 0.326 (multiplicity 4)

Its uncorrected formation energy is 0.89 eV per formula unit. Its crystal system is orthorhombic. The calculation puts the excess energy over the best structure of this formula in the dataset at 160 meV per atom.

---

## HgTeAs3 (PBE-GGA)

Data for a relaxed structure of HgTeAs3.

Lattice parameters (Å, degrees): 5.376 5.376 5.376 90.00 90.00 90.00
Space group Pm-3m (No. 221)
Asymmetric unit:
1 Hg 0.000 0.000 0.000 (multiplicity 1)
2 Te 0.500 0.500 0.500 (multiplicity 1)
3 As 0.000 0.500 0.500 (multiplicity 3)

Its uncorrected formation energy is 4.80 eV per formula unit. Its crystal system is cubic. The calculation puts the excess energy over the best structure of this formula in the dataset at 0 meV per atom.

---

What did the seventh record say?
## HgTeAs (PBE-GGA)

Data for a relaxed structure of HgTeAs.

Lattice parameters (Å, degrees): 3.676 6.064 15.377 90.00 90.00 90.00
Space group Fmm2 (No. 42)
Asymmetric unit:
1 Hg 0.000 0.000 0.000 (multiplicity 4)
2 Te 0.000 0.000 0.698 (multiplicity 4)
3 As 0.000 0.000 0.326 (multiplicity 4)

Its uncorrected formation energy is 0.89 eV per formula unit. Its crystal system is orthorhombic. The calculation puts the excess energy over the best structure of this formula in the dataset at 160 meV per atom.